Entry 1:
A plane-wave DFT calculation with PBE was carried out for a geometry-optimized CsCa2Ac structure.

POSCAR file:
```
CsCa2Ac
1.0
4.0838 0.0000 0.0000
0.0000 4.0838 0.0000
0.0000 0.0000 12.6836
Cs Ca Ac
1 2 1
direct
0.0000 0.0000 0.0000
0.5000 0.5000 0.2906
0.5000 0.5000 0.7094
0.0000 0.0000 0.5000
```

total DFT energy (no corrections): -2.07 eV per atom

---

Entry 2:
A plane-wave DFT calculation with PBE was carried out for a geometry-optimized Cs2CaAcF6 structure.

POSCAR file:
```
Cs2CaAcF6
1.0
5.9044 -3.2534 0.0000
5.9044 3.2534 0.0000
-4.1208 0.0000 5.8870
Cs Ca Ac F
2 1 1 6
direct
0.2316 0.2316 0.2143
0.7684 0.7684 0.7857
0.5000 0.5000 0.0000
0.0000 0.0000 0.5000
0.2269 0.7650 0.2105
0.2350 0.7731 0.7895
0.2557 0.2557 0.7676
0.7443 0.7443 0.2324
0.7650 0.2269 0.2105
0.7731 0.2350 0.7895
```

formation energy from raw total energies: -3.2680 eV per atom
total DFT energy (no corrections): -5.17 eV per atom